[1]
A plane-wave DFT calculation with PBEsol was carried out for an optimized crystal structure of LaTa2Cr.

The structure in POSCAR format:
```
LaTa2Cr
1.0
-2.738 -0.606 -0.830
1.529 -2.343 0.850
-2.969 1.277 8.860
Ta La Cr
2 1 1
Cartesian
-2.764 -0.545 6.454
-2.881 1.240 8.597
-1.424 -1.122 2.455
-1.563 0.672 4.663
```

Energy relative to the elements = 10.656 kcal/mol of atoms
Energy relative to the lowest polymorph listed for this composition = 0 meV/atom
Space group = Cmm2, No. 35



[2]
A plane-wave DFT calculation with PBEsol was carried out for an optimized crystal structure of La2TaCr.

The structure in POSCAR format:
```
La2TaCr
1.0
-1.742 -0.061 2.568
-4.220 -0.384 -2.872
0.785 -5.547 -0.412
La Ta Cr
2 1 1
Cartesian
-0.810 -4.152 1.745
-0.147 -1.456 0.411
-2.981 -0.223 -0.152
-1.718 -2.965 -1.642
```

Energy relative to the elements = 18.067 kcal/mol of atoms
Energy relative to the lowest polymorph listed for this composition = 0 meV/atom
Space group = P2/m, No. 10



[3]
A plane-wave DFT calculation with PBEsol was carried out for an optimized crystal structure of LaTa2Cr.

The structure in POSCAR format:
```
LaTa2Cr
1.0
-2.652 -0.115 1.854
3.994 -2.108 2.755
0.005 5.068 0.323
La Ta Cr
1 2 1
Cartesian
0.148 0.038 3.041
1.312 2.681 4.870
1.155 2.610 1.814
-1.243 2.838 1.226
```

Energy relative to the elements = 13.957 kcal/mol of atoms
Energy relative to the lowest polymorph listed for this composition = 143 meV/atom
Space group = Cm, No. 8



[4]
A plane-wave DFT calculation with PBEsol was carried out for an optimized crystal structure of LaCr2Tc.

The structure in POSCAR format:
```
LaCr2Tc
1.0
-1.125 -2.570 0.809
1.458 -1.710 1.864
-3.990 2.517 7.718
Cr La Tc
2 1 1
Cartesian
-2.952 -1.122 8.140
-0.705 -0.642 2.250
-1.829 -0.882 5.195
0.000 0.000 0.000
```

Energy relative to the elements = 18.430 kcal/mol of atoms
Energy relative to the lowest polymorph listed for this composition = 372 meV/atom
Space group = R-3m, No. 166



[5]
A plane-wave DFT calculation with PBEsol was carried out for an optimized crystal structure of LaCr2Tc.

The structure in POSCAR format:
```
LaCr2Tc
1.0
-1.882 1.991 -1.264
-2.259 -1.056 1.698
1.666 4.928 5.279
Tc La Cr
1 1 2
Cartesian
-1.237 2.931 2.857
-2.070 0.467 0.217
0.527 1.558 1.670
1.139 3.370 3.610
```

Energy relative to the elements = 9.854 kcal/mol of atoms
Energy relative to the lowest polymorph listed for this composition = 0 meV/atom
Space group = P4/mmm, No. 123



[6]
A plane-wave DFT calculation with PBEsol was carried out for an optimized crystal structure of LaCrTc3.

The structure in POSCAR format:
```
LaCrTc3
1.0
4.501 0.000 0.000
0.000 4.501 0.000
0.000 0.000 4.501
Tc La Cr
3 1 1
Cartesian
0.000 0.000 2.251
2.251 0.000 0.000
0.000 2.251 0.000
2.251 2.251 2.251
0.000 0.000 0.000
```

Energy relative to the elements = 16.471 kcal/mol of atoms
Space group = Pm-3m, No. 221



[7]
A plane-wave DFT calculation with PBEsol was carried out for an optimized crystal structure of LaCr2Tc.

The structure in POSCAR format:
```
LaCr2Tc
1.0
-1.532 2.320 -1.180
1.244 -1.313 -4.196
-3.736 -2.614 -0.290
Tc Cr La
1 2 1
Cartesian
-0.766 1.160 -0.590
-1.868 -1.307 -0.145
0.622 -0.656 -2.098
-2.012 -0.803 -2.833
```

Energy relative to the elements = 18.302 kcal/mol of atoms
Energy relative to the lowest polymorph listed for this composition = 366 meV/atom
Space group = P4/mmm, No. 123



[8]
A plane-wave DFT calculation with PBEsol was carried out for an optimized crystal structure of La2CrTe.

The structure in POSCAR format:
```
La2CrTe
1.0
5.399 0.000 0.000
2.700 4.676 0.000
2.700 1.559 4.409
La Cr Te
2 1 1
Cartesian
8.099 4.676 3.307
2.700 1.559 1.102
0.000 0.000 0.000
5.399 3.117 2.204
```

Space group = Fm-3m, No. 225
ΔE_f (raw) = -185 meV per atom



[9]
A plane-wave DFT calculation with PBEsol was carried out for an optimized crystal structure of La2CrTe.

The structure in POSCAR format:
```
La2CrTe
1.0
4.182 0.000 -0.030
0.000 4.563 0.000
-2.047 0.000 5.887
Cr La Te
1 2 1
Cartesian
0.294 2.282 4.590
2.367 2.282 1.893
-1.790 0.000 5.365
0.283 0.000 2.825
```

Space group = Amm2, No. 38
ΔE_f (raw) = -403 meV per atom



[10]
A plane-wave DFT calculation with PBEsol was carried out for an optimized crystal structure of LaTiCr2.

The structure in POSCAR format:
```
LaTiCr2
1.0
4.564 0.000 0.000
2.282 3.953 0.000
2.282 1.318 3.727
Ti La Cr
1 1 2
Cartesian
0.000 0.000 0.000
4.564 2.635 1.863
2.282 1.318 0.932
6.847 3.953 2.795
```

Energy relative to the elements = 14.009 kcal/mol of atoms
Space group = Fm-3m, No. 225



[11]
A plane-wave DFT calculation with PBEsol was carried out for an optimized crystal structure of La3TlCr.

The structure in POSCAR format:
```
La3TlCr
1.0
-4.627 -0.005 2.343
-2.091 -2.330 -4.135
1.057 -4.633 2.076
Cr Tl La
1 1 3
Cartesian
0.000 0.000 0.000
-2.831 -3.484 0.142
0.528 -2.317 1.038
-2.313 -0.003 1.172
-1.046 -1.165 -2.067
```

Energy relative to the elements = 2.040 kcal/mol of atoms
Space group = Pm-3m, No. 221



[12]
A plane-wave DFT calculation with PBEsol was carried out for an optimized crystal structure of LaTl3Cr.

The structure in POSCAR format:
```
LaTl3Cr
1.0
5.917 0.000 0.000
0.000 5.917 0.000
0.000 0.000 5.917
Tl La Cr
3 1 1
Cartesian
0.000 0.000 2.959
0.000 2.959 0.000
2.959 0.000 0.000
0.000 0.000 0.000
2.959 2.959 2.959
```

Energy relative to the elements = 28.436 kcal/mol of atoms
Space group = Pm-3m, No. 221



[13]
A plane-wave DFT calculation with PBEsol was carried out for an optimized crystal structure of LaTlCr2.

The structure in POSCAR format:
```
LaTlCr2
1.0
4.799 0.000 0.000
2.400 4.156 0.000
2.400 1.385 3.919
Cr Tl La
2 1 1
Cartesian
7.199 4.156 2.939
2.400 1.385 0.980
4.799 2.771 1.959
0.000 0.000 0.000
```

Energy relative to the elements = 13.576 kcal/mol of atoms
Space group = Fm-3m, No. 225



[14]
A plane-wave DFT calculation with PBEsol was carried out for an optimized crystal structure of LaCr2W.

The structure in POSCAR format:
```
LaCr2W
1.0
-1.617 0.798 -2.396
-2.995 0.010 0.148
-1.377 8.618 1.922
Cr W La
2 1 1
Cartesian
-1.504 1.992 -0.198
-4.485 7.434 -0.128
0.000 0.000 0.000
-2.995 4.713 -0.163
```

Energy relative to the elements = 19.521 kcal/mol of atoms
Energy relative to the lowest polymorph listed for this composition = 0 meV/atom
Space group = R-3m, No. 166



[15]
A plane-wave DFT calculation with PBEsol was carried out for an optimized crystal structure of LaCrW2.

The structure in POSCAR format:
```
LaCrW2
1.0
-0.227 -0.917 2.860
2.298 -3.734 -2.602
3.865 3.083 1.295
W Cr La
2 1 1
Cartesian
2.498 -1.438 -0.263
3.438 -0.130 1.817
1.933 1.541 0.648
-0.113 -0.459 1.430
```

Energy relative to the elements = 17.651 kcal/mol of atoms
Energy relative to the lowest polymorph listed for this composition = 210 meV/atom
Space group = C2/m, No. 12



[16]
A plane-wave DFT calculation with PBEsol was carried out for an optimized crystal structure of LaCrW2.

The structure in POSCAR format:
```
LaCrW2
1.0
-0.637 1.211 -2.667
-2.007 -2.169 -0.506
-5.634 4.430 3.357
La W Cr
1 2 1
Cartesian
-4.139 1.736 0.092
-4.606 3.621 2.744
-1.029 0.809 0.613
-1.322 -0.479 -1.587
```

Energy relative to the elements = 12.810 kcal/mol of atoms
Energy relative to the lowest polymorph listed for this composition = 0 meV/atom
Space group = P4/mmm, No. 123



[17]
A plane-wave DFT calculation with PBEsol was carried out for an optimized crystal structure of LaCr2W.

The structure in POSCAR format:
```
LaCr2W
1.0
2.802 -0.003 -0.004
-1.156 4.956 0.003
-1.156 -1.913 4.572
La Cr W
1 2 1
Cartesian
1.401 -0.001 -0.002
-0.578 -0.956 2.286
-0.578 2.478 0.002
0.245 1.520 2.286
```

Energy relative to the elements = 20.315 kcal/mol of atoms
Energy relative to the lowest polymorph listed for this composition = 34 meV/atom
Space group = C2/m, No. 12



[18]
A plane-wave DFT calculation with PBEsol was carried out for an optimized crystal structure of LaY2Cr.

The structure in POSCAR format:
```
LaY2Cr
1.0
3.662 0.000 0.000
0.000 5.374 0.000
-1.831 -2.687 5.492
La Y Cr
1 2 1
Cartesian
1.831 2.687 3.181
1.831 0.000 5.484
0.000 0.000 2.311
1.831 0.000 0.008
```

Energy relative to the elements = 7.109 kcal/mol of atoms
Energy relative to the lowest polymorph listed for this composition = 0 meV/atom
Space group = Imm2, No. 44



[19]
A plane-wave DFT calculation with PBEsol was carried out for an optimized crystal structure of LaY3Cr.

The structure in POSCAR format:
```
LaY3Cr
1.0
-2.983 0.510 4.544
1.075 -5.195 1.288
4.445 1.598 2.738
Y La Cr
3 1 1
Cartesian
2.222 0.799 1.369
0.537 -2.598 0.644
-1.491 0.255 2.272
0.000 0.000 0.000
1.268 -1.544 4.285
```

Energy relative to the elements = 28.055 kcal/mol of atoms
Space group = Pm-3m, No. 221



[20]
A plane-wave DFT calculation with PBEsol was carried out for an optimized crystal structure of LaY2Cr.

The structure in POSCAR format:
```
LaY2Cr
1.0
-5.169 -0.978 0.884
-2.575 -3.615 -2.959
-1.505 -4.637 2.166
La Y Cr
1 2 1
Cartesian
-2.312 -2.307 0.023
-6.936 -6.922 0.068
0.000 0.000 0.000
-4.624 -4.615 0.046
```

Energy relative to the elements = 9.652 kcal/mol of atoms
Energy relative to the lowest polymorph listed for this composition = 110 meV/atom
Space group = F-43m, No. 216



[21]
A plane-wave DFT calculation with PBEsol was carried out for an optimized crystal structure of La2YCr.

The structure in POSCAR format:
```
La2YCr
1.0
3.429 -0.082 0.000
-0.550 5.859 0.000
-1.439 -2.889 5.597
La Cr Y
2 1 1
Cartesian
0.720 1.444 2.799
-0.720 -1.444 2.799
-0.275 2.930 0.000
1.714 -0.041 0.000
```

Energy relative to the elements = 11.738 kcal/mol of atoms
Space group = C2/m, No. 12



[22]
A plane-wave DFT calculation with PBEsol was carried out for an optimized crystal structure of LaZn2Cr.

The structure in POSCAR format:
```
LaZn2Cr
1.0
4.810 0.000 0.000
2.405 4.165 0.000
2.405 1.388 3.927
Cr Zn La
1 2 1
Cartesian
4.810 2.777 1.964
0.000 0.000 0.000
2.405 1.388 0.982
7.215 4.165 2.945
```

Energy relative to the elements = 5.086 kcal/mol of atoms
Space group = F-43m, No. 216



[23]
A plane-wave DFT calculation with PBEsol was carried out for an optimized crystal structure of LaZn2Cr.

The structure in POSCAR format:
```
LaZn2Cr
1.0
3.210 0.000 0.000
0.000 3.214 0.000
0.000 0.000 7.238
Cr La Zn
1 1 2
Cartesian
0.000 0.000 3.185
1.605 1.607 5.348
1.605 1.607 1.882
0.000 0.000 0.442
```

Energy relative to the elements = 5.616 kcal/mol of atoms
Space group = P4mm, No. 99



[24]
A plane-wave DFT calculation with PBEsol was carried out for an optimized crystal structure of LaZnCr2.

The structure in POSCAR format:
```
LaZnCr2
1.0
3.355 0.000 0.000
0.000 5.054 0.000
-1.678 -2.527 4.502
La Zn Cr
1 1 2
Cartesian
1.678 0.000 0.000
0.000 2.527 0.000
0.000 0.000 2.495
1.678 2.527 2.007
```

Energy relative to the elements = 16.450 kcal/mol of atoms
Space group = Immm, No. 71



[25]
A plane-wave DFT calculation with PBEsol was carried out for an optimized crystal structure of LaZnCr2.

The structure in POSCAR format:
```
LaZnCr2
1.0
2.832 -0.010 0.000
-1.205 2.562 0.000
0.000 0.000 9.079
Cr Zn La
2 1 1
Cartesian
0.813 1.276 7.299
0.000 0.000 8.853
0.813 1.276 1.870
0.000 0.000 4.676
```

Energy relative to the elements = 11.954 kcal/mol of atoms
Space group = Cmm2, No. 35



[26]
A plane-wave DFT calculation with PBEsol was carried out for an optimized crystal structure of La2ZnCr.

The structure in POSCAR format:
```
La2ZnCr
1.0
-0.057 -2.682 -2.495
-1.687 -2.968 3.228
-5.414 2.851 -0.208
La Cr Zn
2 1 1
Cartesian
-2.653 -2.156 0.051
-5.071 0.221 -2.446
-4.889 -0.197 0.684
-2.724 0.927 -0.571
```

Energy relative to the elements = 4.393 kcal/mol of atoms
Space group = Pm, No. 6



[27]
A plane-wave DFT calculation with PBEsol was carried out for an optimized crystal structure of LiCr.

The structure in POSCAR format:
```
LiCr
1.0
-0.036 -0.365 -2.490
-2.421 -4.667 1.991
-4.479 3.404 -0.434
Cr Li
3 3
Cartesian
-3.276 -2.756 0.451
-2.286 -4.621 -0.562
-4.660 -1.331 0.262
-3.118 1.459 -0.169
-5.299 0.867 -1.323
-2.235 -0.686 -1.139
```

Energy relative to the elements = 12.476 kcal/mol of atoms
Energy relative to the lowest polymorph listed for this composition = 0 meV/atom
Space group = Cm, No. 8



[28]
A plane-wave DFT calculation with PBEsol was carried out for an optimized crystal structure of Li3Cr2.

The structure in POSCAR format:
```
Li3Cr2
1.0
3.896 0.000 0.000
-1.948 3.374 0.000
0.000 0.000 5.985
Li Cr
3 2
Cartesian
0.000 2.249 2.138
0.000 0.000 0.000
1.948 1.125 3.847
1.948 1.125 0.440
0.000 2.249 5.545
```

Energy relative to the elements = 22.396 kcal/mol of atoms
Space group = P-3m1, No. 164



[29]
A plane-wave DFT calculation with PBEsol was carried out for an optimized crystal structure of Li2Cr.

The structure in POSCAR format:
```
Li2Cr
1.0
-2.400 0.252 -0.681
1.734 -0.590 -1.713
-1.110 -7.050 1.306
Li Cr
2 1
Cartesian
0.002 -2.562 -0.952
-1.777 -4.827 -0.136
0.000 0.000 0.000
```

Energy relative to the elements = 10.870 kcal/mol of atoms
Space group = P-3m1, No. 164



[30]
A plane-wave DFT calculation with PBEsol was carried out for an optimized crystal structure of LiCr.

The structure in POSCAR format:
```
LiCr
1.0
-0.400 2.351 1.425
-2.415 -0.988 0.952
2.028 -1.703 3.379
Li Cr
1 1
Cartesian
-0.394 -0.170 2.878
0.000 0.000 0.000
```

Energy relative to the elements = 22.490 kcal/mol of atoms
Energy relative to the lowest polymorph listed for this composition = 434 meV/atom
Space group = P4/mmm, No. 123



[31]
A plane-wave DFT calculation with PBEsol was carried out for an optimized crystal structure of LiCr3.

The structure in POSCAR format:
```
LiCr3
1.0
-0.672 -1.974 1.015
3.583 -1.697 -0.931
1.987 2.102 3.817
Cr Li
3 1
Cartesian
0.335 0.015 1.263
2.785 0.203 1.443
0.980 0.113 3.569
1.456 -1.836 0.042
```

Energy relative to the elements = 9.093 kcal/mol of atoms
Space group = P2/m, No. 10